Record 1
La7Ho2Th2 | PBE-GGA | relaxed

- ΔE to the lowest computed polymorph: 0.0 kJ/mol of atoms
- Crystal system: monoclinic

Cell lengths 6.4439, 6.4439, 10.2261 Å; angles 91.25, 91.25, 114.15 degrees
Last column: nearest neighbours and their distance in Å.
Atoms (fractional coordinates):
La (0.1863, 0.5903, 0.1519)  8 La 3.43-3.81, 1 Th 3.46, 1 Ho 3.62
La (0.4097, 0.8137, 0.8481)  8 La 3.43-3.81, 1 Th 3.46, 1 Ho 3.62
La (0.8137, 0.4097, 0.8481)  8 La 3.43-3.81, 1 Th 3.46, 1 Ho 3.62
La (0.5903, 0.1863, 0.1519)  8 La 3.43-3.81, 1 Th 3.46, 1 Ho 3.62
La (0.0000, 0.0000, 0.0000)  10 La 3.68-3.77, 2 Th 3.88
La (0.2940, 0.2940, 0.6991)  2 Th 3.33-3.48, 2 La 3.43, 2 Ho 3.53
La (0.7060, 0.7060, 0.3009)  2 Th 3.33-3.48, 2 La 3.43, 2 Ho 3.53
Ho (0.7269, 0.2731, 0.5000)  4 Th 3.51-3.58, 4 La 3.53-3.62, 2 Ho 3.54
Ho (0.2731, 0.7269, 0.5000)  4 Th 3.51-3.58, 4 La 3.53-3.62, 2 Ho 3.54
Th (0.8236, 0.8236, 0.6350)  4 La 3.33-3.48, 4 Ho 3.51-3.58
Th (0.1764, 0.1764, 0.3650)  4 La 3.33-3.48, 4 Ho 3.51-3.58

Record 2
LaCePrCd | PBE-GGA | relaxed

- Crystal system: cubic

Cell lengths 5.5518, 5.5518, 5.5518 Å; angles 60.00, 60.00, 60.00 degrees
Last column: nearest neighbours and their distance in Å.
Atoms (fractional coordinates):
Pr (0.0000, 0.0000, 0.0000)  4 Ce 3.40, 4 Cd 3.40
Cd (0.2500, 0.2500, 0.2500)  4 Pr 3.40, 4 La 3.40
Ce (0.7500, 0.7500, 0.7500)  4 La 3.40, 4 Pr 3.40
La (0.5000, 0.5000, 0.5000)  4 Cd 3.40, 4 Ce 3.40

Record 3
Li2AlTl | PBE-GGA | relaxed

- Crystal system: cubic

Cell lengths 4.6895, 4.6895, 4.6895 Å; angles 60.00, 60.00, 60.00 degrees
Last column: nearest neighbours and their distance in Å.
Atoms (fractional coordinates):
Tl (0.5000, 0.5000, 0.5000)  8 Li 2.87
Al (0.0000, 0.0000, 0.0000)  8 Li 2.87
Li (0.2500, 0.2500, 0.2500)  4 Tl 2.87, 4 Al 2.87
Li (0.7500, 0.7500, 0.7500)  4 Al 2.87, 4 Tl 2.87

Record 4
ZrTaIn | PBE-GGA | relaxed

- ΔE to the lowest computed polymorph: 64.4 kJ/mol of atoms
- Crystal system: cubic

Cell lengths 4.6691, 4.6691, 4.6691 Å; angles 60.00, 60.00, 60.00 degrees
Last column: nearest neighbours and their distance in Å.
Atoms (fractional coordinates):
In (0.7500, 0.7500, 0.7500)  4 Zr 2.86, 4 Ta 2.86
Ta (0.0000, 0.0000, 0.0000)  4 In 2.86
Zr (0.5000, 0.5000, 0.5000)  4 In 2.86

Record 5
HfMo2W6 | PBE-GGA | relaxed

- Crystal system: orthorhombic

Cell lengths 8.0068, 7.3995, 7.3995 Å; angles 72.96, 57.24, 57.24 degrees
Last column: nearest neighbours and their distance in Å.
Atoms (fractional coordinates):
Hf (0.2500, 0.2500, 0.7500)  4 Mo 2.70
Hf (0.7500, 0.7500, 0.2500)  4 Mo 2.70
Mo (0.0663, 0.6667, 0.8334)  7 W 2.51-2.81, 2 Hf 2.70
Mo (0.4337, 0.1666, 0.3333)  7 W 2.51-2.81, 2 Hf 2.70
Mo (0.9337, 0.3333, 0.1666)  7 W 2.51-2.81, 2 Hf 2.70
Mo (0.5663, 0.8334, 0.6667)  7 W 2.51-2.81, 2 Hf 2.70
W (0.5345, 0.4766, 0.6705)  3 W 2.62-2.75, 2 Mo 2.78-2.81
W (0.9655, 0.3295, 0.5234)  3 W 2.62-2.75, 2 Mo 2.78-2.81
W (0.4655, 0.5234, 0.3295)  3 W 2.62-2.75, 2 Mo 2.78-2.81
W (0.0345, 0.6705, 0.4766)  3 W 2.62-2.75, 2 Mo 2.78-2.81
W (0.7728, 0.0883, 0.4117)  3 Mo 2.51-2.80, 2 W 2.72
W (0.7272, 0.5883, 0.9117)  3 Mo 2.51-2.80, 2 W 2.72
W (0.2272, 0.9117, 0.5883)  3 Mo 2.51-2.80, 2 W 2.72
W (0.2728, 0.4117, 0.0883)  3 Mo 2.51-2.80, 2 W 2.72
W (0.1816, 0.8295, 0.0235)  3 W 2.62-2.75, 2 Mo 2.78-2.81
W (0.3184, 0.9765, 0.1705)  3 W 2.62-2.75, 2 Mo 2.78-2.81
W (0.8184, 0.1705, 0.9765)  3 W 2.62-2.75, 2 Mo 2.78-2.81
W (0.6816, 0.0235, 0.8295)  3 W 2.62-2.75, 2 Mo 2.78-2.81

Record 6
Er8ZnPd2 | PBE-GGA | relaxed

- ΔE to the lowest computed polymorph: 0.0 kJ/mol of atoms
- Crystal system: monoclinic

Cell lengths 5.0457, 6.7512, 9.0807 Å; angles 105.68, 106.13, 90.00 degrees
Last column: nearest neighbours and their distance in Å.
Atoms (fractional coordinates):
Er (0.4070, 0.5369, 0.8140)  1 Zn 3.09, 2 Pd 3.22, 6 Er 3.36-3.44
Er (0.6706, 0.9788, 0.3411)  1 Pd 2.76, 1 Zn 3.02
Er (0.8000, 0.6784, 0.6001)  1 Pd 2.78
Er (0.9674, 0.2200, 0.9347)  1 Pd 2.79, 2 Zn 3.06
Er (0.2000, 0.3216, 0.3999)  1 Pd 2.78
Er (0.3294, 0.0212, 0.6589)  1 Pd 2.76, 1 Zn 3.02
Er (0.5930, 0.4631, 0.1860)  1 Zn 3.09, 2 Pd 3.22, 6 Er 3.36-3.44
Er (0.0326, 0.7800, 0.0653)  1 Pd 2.79, 2 Zn 3.06
Zn (0.5000, 0.0000, 0.0000)  8 Er 3.02-3.09
Pd (0.8155, 0.2794, 0.6311)  3 Er 2.76-2.79
Pd (0.1845, 0.7206, 0.3689)  3 Er 2.76-2.79

Calculated values (eV/atom) of DFT formation energy for the records, taken in order: 0.10 0.03 -0.12 0.65 0.38 -0.39.